[1]
The following is a PBE calculation of Ac4GaTeI2 after structural relaxation, from the Alexandria database.

Calculated values
Energy relative to the elements, uncorrected ... -1.00 eV/atom
Magnetization ... 0.00 μB/f.u.
Fermi-level density of states ... 0.6214 states/eV per atom

Lattice parameters (Å, degrees): 8.3073 4.7451 8.3097 90.00 109.32 90.00
Space group P2/m (No. 10)
Unique sites:
Ac: 0.2091 0.0000 0.2167 x2
Ac: 0.2186 0.5000 0.7622 x2
Ga: 0.0000 0.5000 0.0000 x1
Te: 0.0000 0.0000 0.5000 x1
I: 0.5000 0.0000 0.0000 x1
I: 0.5000 0.5000 0.5000 x1

***

[2]
The following is a PBE calculation of Ac8Ga3TeI4 after structural relaxation, from the Alexandria database.

Calculated values
Energy relative to the elements, uncorrected ... -0.89 eV/atom
Magnetization ... 0.00 μB/f.u.
Fermi-level density of states ... 0.5604 states/eV per atom

Lattice parameters (Å, degrees): 9.5018 9.5018 23.7365 90.00 90.00 120.00
Space group R-3m (No. 166, hexagonal axes)
Unique sites:
Ac: 0.0000 0.0000 0.2346 x6
Ac: 0.0177 0.5089 0.7630 x18
Ga: 0.0000 0.5000 0.5000 x9
Te: 0.0000 0.0000 0.5000 x3
I: 0.0000 0.0000 0.0000 x3
I: 0.0000 0.5000 0.0000 x9

***

[3]
The following is a PBE calculation of Ac4TlGaI2 after structural relaxation, from the Alexandria database.

Calculated values
Energy relative to the elements, uncorrected ... -0.70 eV/atom
Magnetization ... 0.00 μB/f.u.
Fermi-level density of states ... 0.8321 states/eV per atom

Lattice parameters (Å, degrees): 8.2803 4.7757 8.4339 90.00 109.20 90.00
Space group P2/m (No. 10)
Unique sites:
Ac: 0.2111 0.0000 0.2279 x2
Ac: 0.2203 0.5000 0.7512 x2
Tl: 0.0000 0.0000 0.5000 x1
Ga: 0.0000 0.5000 0.0000 x1
I: 0.5000 0.0000 0.0000 x1
I: 0.5000 0.5000 0.5000 x1

***

[4]
The following is a PBE calculation of Ac8Tl3GaI4 after structural relaxation, from the Alexandria database.

Calculated values
Energy relative to the elements, uncorrected ... -0.67 eV/atom
Magnetization ... 0.00 μB/f.u.
Fermi-level density of states ... 0.8415 states/eV per atom

Lattice parameters (Å, degrees): 9.7456 9.7456 23.3010 90.00 90.00 120.00
Space group R-3m (No. 166, hexagonal axes)
Unique sites:
Ac: 0.0000 0.0000 0.2424 x6
Ac: 0.0108 0.5054 0.2389 x18
Tl: 0.0000 0.5000 0.5000 x9
Ga: 0.0000 0.0000 0.5000 x3
I: 0.0000 0.0000 0.0000 x3
I: 0.0000 0.5000 0.0000 x9

***

[5]
The following is a PBE calculation of AcTl2GaI6 after structural relaxation, from the Alexandria database.

Calculated values
Energy relative to the elements, uncorrected ... -0.94 eV/atom
Magnetization ... 0.00 μB/f.u.
Fermi-level density of states ... 0.0000 states/eV per atom

Lattice parameters (Å, degrees): 8.3271 9.0478 14.2907 90.00 121.95 90.00
Space group P2_1/c (No. 14)
Unique sites:
Ac: 0.0000 0.0000 0.0000 x2
Tl: 0.3100 0.0992 0.7713 x4
Ga: 0.5000 0.0000 0.5000 x2
I: 0.1054 0.0480 0.2532 x4
I: 0.2494 0.6943 0.0752 x4
I: 0.3804 0.1834 0.0585 x4

***

[6]
The following is a PBE calculation of Ac8TlGa3I4 after structural relaxation, from the Alexandria database.

Calculated values
Energy relative to the elements, uncorrected ... -0.72 eV/atom
Magnetization ... 0.00 μB/f.u.
Fermi-level density of states ... 0.9762 states/eV per atom

Lattice parameters (Å, degrees): 9.5422 9.5422 23.6290 90.00 90.00 120.00
Space group R-3m (No. 166, hexagonal axes)
Unique sites:
Ac: 0.0000 0.0000 0.2353 x6
Ac: 0.0095 0.5047 0.7619 x18
Tl: 0.0000 0.0000 0.5000 x3
Ga: 0.0000 0.5000 0.5000 x9
I: 0.0000 0.0000 0.0000 x3
I: 0.0000 0.5000 0.0000 x9

***

[7]
The following is a PBE calculation of Ac8ZnGa3I4 after structural relaxation, from the Alexandria database.

Calculated values
Energy relative to the elements, uncorrected ... -0.70 eV/atom
Magnetization ... 0.00 μB/f.u.
Fermi-level density of states ... 1.1066 states/eV per atom

Lattice parameters (Å, degrees): 9.3915 9.3915 23.8555 90.00 90.00 120.00
Space group R-3m (No. 166, hexagonal axes)
Unique sites:
Ac: 0.0000 0.0000 0.2364 x6
Ac: 0.0032 0.5016 0.7629 x18
Zn: 0.0000 0.0000 0.5000 x3
Ga: 0.0000 0.5000 0.5000 x9
I: 0.0000 0.0000 0.0000 x3
I: 0.0000 0.5000 0.0000 x9

***

[8]
The following is a PBE calculation of Ac2InGa3 after structural relaxation, from the Alexandria database.

Calculated values
Magnetization ... 0.00 μB/f.u.
Fermi-level density of states ... 0.5388 states/eV per atom
Formation energy from the elements ... -3.47 eV/f.u.

Lattice parameters (Å, degrees): 9.0339 9.4183 15.6922 90.00 90.00 90.00
Space group Fmmm (No. 69)
Unique sites:
Ac: 0.0000 0.2489 0.0000 x8
Ac: 0.2500 0.2500 0.2500 x8
In: 0.0000 0.0000 0.3334 x8
Ga: 0.0000 0.0000 0.1616 x8
Ga: 0.2425 0.0000 0.0805 x16

***

[9]
The following is a PBE calculation of AcIn3Ga3 after structural relaxation, from the Alexandria database.

Calculated values
Magnetization ... 0.00 μB/f.u.
Fermi-level density of states ... 0.3331 states/eV per atom
Formation energy from the elements ... 0.58 eV/f.u.

Lattice parameters (Å, degrees): 7.4869 7.4869 7.4869 90.00 90.00 90.00
Space group Pm-3n (No. 223)
Unique sites:
Ac: 0.0000 0.0000 0.0000 x2
In: 0.0000 0.2500 0.5000 x6
Ga: 0.0000 0.5000 0.2500 x6

***

[10]
The following is a PBE calculation of AcIn6Ga2 after structural relaxation, from the Alexandria database.

Calculated values
Magnetization ... 0.00 μB/f.u.
Fermi-level density of states ... 0.5936 states/eV per atom
Formation energy from the elements ... -1.56 eV/f.u.

Lattice parameters (Å, degrees): 4.6154 4.6154 11.1678 90.00 90.00 90.00
Space group P4/mmm (No. 123)
Unique sites:
Ac: 0.0000 0.0000 0.0000 x1
In: 0.0000 0.0000 0.5000 x1
In: 0.0000 0.5000 0.2727 x4
In: 0.5000 0.5000 0.5000 x1
Ga: 0.5000 0.5000 0.1118 x2

***

[11]
The following is a PBE calculation of Ac6InGa2 after structural relaxation, from the Alexandria database.

Calculated values
Excess energy over the best structure of this formula in the dataset ... 127 meV/atom
Magnetization ... 0.00 μB/f.u.
Fermi-level density of states ... 1.1597 states/eV per atom
Formation energy from the elements ... -1.76 eV/f.u.

Lattice parameters (Å, degrees): 7.1757 9.0566 12.0528 90.00 120.15 90.00
Space group P2_1/c (No. 14)
Unique sites:
Ac: 0.0611 0.0577 0.2235 x4
Ac: 0.1867 0.6967 0.0728 x4
Ac: 0.4085 0.1545 0.0588 x4
In: 0.5000 0.0000 0.5000 x2
Ga: 0.3114 0.1211 0.7395 x4

***

[12]
The following is a PBE calculation of AcInGa after structural relaxation, from the Alexandria database.

Calculated values
Excess energy over the best structure of this formula in the dataset ... 30 meV/atom
Magnetization ... 0.00 μB/f.u.
Fermi-level density of states ... 0.7449 states/eV per atom
Formation energy from the elements ... -1.54 eV/f.u.

Lattice parameters (Å, degrees): 4.6570 4.6570 16.1931 90.00 90.00 90.00
Space group I-4m2 (No. 119)
Unique sites:
Ac: 0.0000 0.0000 0.0000 x2
Ac: 0.0000 0.5000 0.2500 x2
In: 0.0000 0.5000 0.6625 x4
Ga: 0.0000 0.0000 0.4220 x4